No. 1
! AlHgAs PBE optimized geometry; values from VASP
&SYSTEM
  ibrav = 0, nat = 3, ntyp = 3
/
ATOMIC_SPECIES
Hg 200.59 Hg.upf
Al 26.98 Al.upf
As 74.92 As.upf
CELL_PARAMETERS angstrom
-3.7434 -3.7258 -3.7846
-3.6269 -5.2959 1.0084
1.6978 5.9723 1.9151
ATOMIC_POSITIONS crystal
Hg 0.6692 0.6692 0.0000
Al 0.8873 0.8873 0.0000
As 0.4435 0.4435 0.0000
! Calculated formation energy in eV per atom: -0.025
! DOS at the Fermi energy in states/eV per atom: 0.420
! Energy relative to the lowest polymorph listed for this composition in meV per atom: 28

***

No. 2
! LaAl4Zn4 PBE optimized geometry; values from VASP
&SYSTEM
  ibrav = 0, nat = 18, ntyp = 3
/
ATOMIC_SPECIES
Al 26.98 Al.upf
Zn 65.41 Zn.upf
La 138.91 La.upf
CELL_PARAMETERS angstrom
4.8319 0.0000 0.0000
0.0000 8.4584 0.0000
0.0000 0.0000 8.4584
ATOMIC_POSITIONS crystal
Al 0.5370 0.1269 0.4144
Zn 0.5314 0.8637 0.2449
Al 0.4630 0.5856 0.1269
Al 0.4630 0.4144 0.8731
Zn 0.0314 0.2551 0.3637
La 0.5000 0.5000 0.5000
Al 0.0370 0.9144 0.3731
Al 0.9630 0.3731 0.0856
Zn 0.9686 0.3637 0.7449
Zn 0.4686 0.7551 0.8637
Zn 0.9686 0.6363 0.2551
Al 0.9630 0.6269 0.9144
Zn 0.0314 0.7449 0.6363
Zn 0.5314 0.1363 0.7551
Zn 0.4686 0.2449 0.1363
La 0.0000 0.0000 0.0000
Al 0.0370 0.0856 0.6269
Al 0.5370 0.8731 0.5856
! Calculated formation energy in eV per atom: -0.071
! DOS at the Fermi energy in states/eV per atom: 0.419